Arrangement A

Here is a relaxed ErLu crystal from the Open Quantum Materials Database. Energies are from PBE-GGA.

```
8
Lattice="5.4870 0.0000 0.0000 0.0000 6.1284 3.5388 0.0000 -6.1284 3.5388" Properties=species:S:1:pos:R:3 pbc="T T T"
Er 1.3717 -2.0456 1.7715
Er 1.3717 -5.1076 3.5388
Er 4.1152 2.0456 1.7715
Er 4.1152 5.1076 3.5388
Lu 1.3717 -2.0393 5.3139
Lu 1.3717 1.0224 3.5475
Lu 4.1152 -1.0224 3.5475
Lu 4.1152 2.0393 5.3139
```

Arrangement B

Here is a relaxed ErLu crystal from the Open Quantum Materials Database. Energies are from PBE-GGA.

```
2
Lattice="0.0000 3.6435 3.6435 3.6435 0.0000 3.6435 3.6435 3.6435 0.0000" Properties=species:S:1:pos:R:3 pbc="T T T"
Er 0.0000 0.0000 0.0000
Lu 5.4653 5.4653 5.4653
```

Computed energies relative to the best structure, in meV/atom: arrangement A 0; arrangement B 1994

Arrangement A

Here is a relaxed Cu5Ag2 crystal from the Open Quantum Materials Database. Energies are from PBE-GGA.

```
7
Lattice="-1.3726 1.3726 12.6809 1.3726 -1.3726 12.6809 1.3726 1.3726 -12.6809" Properties=species:S:1:pos:R:3 pbc="T T T"
Cu 0.0000 0.0000 0.0000
Cu 0.0000 0.0000 3.8949
Cu 0.0000 0.0000 7.1536
Cu 0.0000 0.0000 18.2082
Cu 0.0000 0.0000 21.4669
Ag 0.0000 0.0000 10.7393
Ag 0.0000 0.0000 14.6225
```

Arrangement B

Here is a relaxed Cu5Ag2 crystal from the Open Quantum Materials Database. Energies are from PBE-GGA.

```
7
Lattice="4.4904 -1.3683 0.0000 4.4904 1.3683 0.0000 -0.3674 0.0000 7.7366" Properties=species:S:1:pos:R:3 pbc="T T T"
Cu 0.0000 0.0000 0.0000
Cu 1.1555 0.0000 4.4867
Cu 2.5685 0.0000 1.0240
Cu 6.0448 0.0000 6.7126
Cu 7.4579 0.0000 3.2498
Ag 3.5853 0.0000 5.5088
Ag 5.0280 0.0000 2.2277
```

Computed energies relative to the best structure, in meV/atom: arrangement A 0; arrangement B 19

Arrangement A

Here is a relaxed RbNbOs crystal from the Open Quantum Materials Database. Energies are from PBE-GGA.

```
3
Lattice="0.0000 3.2119 3.2119 3.2119 0.0000 3.2119 3.2119 3.2119 0.0000" Properties=species:S:1:pos:R:3 pbc="T T T"
Rb 0.0000 0.0000 0.0000
Nb 4.8179 4.8179 4.8179
Os 1.6060 1.6060 1.6060
```

Arrangement B

Here is a relaxed RbNbOs crystal from the Open Quantum Materials Database. Energies are from PBE-GGA.

```
3
Lattice="0.0000 3.2910 3.2910 3.2910 0.0000 3.2910 3.2910 3.2910 0.0000" Properties=species:S:1:pos:R:3 pbc="T T T"
Rb 0.0000 0.0000 0.0000
Nb 3.2910 3.2910 3.2910
Os 4.9364 4.9364 4.9364
```

Computed energies relative to the best structure, in meV/atom: arrangement A 1406; arrangement B 0

Arrangement A

Here is a relaxed HfSnAsO crystal from the Open Quantum Materials Database. Energies are from PBE-GGA.

```
8
Lattice="3.7897 0.0000 0.0000 0.0000 3.7897 0.0000 0.0000 0.0000 10.3917" Properties=species:S:1:pos:R:3 pbc="T T T"
Hf 0.9474 0.9474 1.1305
Hf 2.8423 2.8423 9.2612
Sn 0.9474 2.8423 5.1959
Sn 2.8423 0.9474 5.1959
As 0.9474 0.9474 7.8404
As 2.8423 2.8423 2.5514
O 0.9474 2.8423 0.0000
O 2.8423 0.9474 0.0000
```

Arrangement B

Here is a relaxed HfSnAsO crystal from the Open Quantum Materials Database. Energies are from PBE-GGA.

```
8
Lattice="3.9028 0.0000 0.0000 0.0000 7.6660 0.0000 0.0000 0.0000 5.5895" Properties=species:S:1:pos:R:3 pbc="T T T"
Hf 0.0000 1.2676 0.0000
Hf 0.0000 6.3984 2.7948
Sn 1.9514 3.3602 2.8987
Sn 1.9514 4.3059 0.1040
As 0.0000 1.5209 2.7933
As 0.0000 6.1452 5.5880
O 1.9514 0.9571 0.0069
O 1.9514 6.7090 2.8016
```

Computed energies relative to the best structure, in meV/atom: arrangement A 33; arrangement B 0

Arrangement A

Here is a relaxed Cu4Ag crystal from the Open Quantum Materials Database. Energies are from PBE-GGA.

```
10
Lattice="4.5504 0.0000 0.0000 0.0000 2.6893 0.0000 -1.2742 0.0000 10.6879" Properties=species:S:1:pos:R:3 pbc="T T T"
Cu -0.2999 0.6723 4.3473
Cu -0.0727 0.6723 10.6194
Cu 0.5670 2.0169 8.4953
Cu 1.2580 0.6723 6.3627
Cu 2.0182 2.0169 4.3252
Cu 2.7092 0.6723 2.1926
Cu 3.3489 2.0169 0.0685
Cu 3.5761 2.0169 6.3406
Ag 0.4424 2.0169 2.1425
Ag 2.8338 0.6723 8.5454
```

Arrangement B

Here is a relaxed Cu4Ag crystal from the Open Quantum Materials Database. Energies are from PBE-GGA.

```
10
Lattice="4.2203 -1.8417 0.0000 4.2203 1.8417 0.0000 -0.0619 0.0000 8.3877" Properties=species:S:1:pos:R:3 pbc="T T T"
Cu 0.4630 0.0000 3.0288
Cu 1.3234 0.0000 0.4412
Cu 2.0557 0.0000 6.1973
Cu 2.9238 0.0000 3.8248
Cu 5.4549 0.0000 4.5629
Cu 6.3230 0.0000 2.1904
Cu 7.0553 0.0000 7.9465
Cu 7.9157 0.0000 5.3590
Ag 3.8075 0.0000 1.3269
Ag 4.5713 0.0000 7.0609
```

Computed energies relative to the best structure, in meV/atom: arrangement A 11; arrangement B 0

Arrangement A

Here is a relaxed Cu4Ag crystal from the Open Quantum Materials Database. Energies are from PBE-GGA.

```
10
Lattice="2.2909 -6.6311 0.0000 2.2909 6.6311 0.0000 -1.4917 0.0000 4.2978" Properties=species:S:1:pos:R:3 pbc="T T T"
Cu 0.0000 0.0000 0.0000
Cu 1.5451 5.3213 2.1489
Cu 2.2909 3.9971 0.0000
Cu 1.5451 2.7444 2.1489
Cu 1.5451 0.0000 2.1489
Cu 1.5451 -2.7444 2.1489
Cu 2.2909 -3.9971 0.0000
Cu 1.5451 -5.3213 2.1489
Ag 2.2909 1.3802 0.0000
Ag 2.2909 -1.3802 0.0000
```

Arrangement B

Here is a relaxed Cu4Ag crystal from the Open Quantum Materials Database. Energies are from PBE-GGA.

```
10
Lattice="5.9229 0.0000 0.0000 0.0000 3.7118 0.0000 -0.0341 0.0000 5.9256" Properties=species:S:1:pos:R:3 pbc="T T T"
Cu 0.0000 0.0000 0.0000
Cu 0.5089 1.8559 4.1192
Cu 1.0979 0.0000 2.3325
Cu 1.6779 1.8559 0.6304
Cu 2.9444 1.8559 2.9628
Cu 4.2110 1.8559 5.2952
Cu 4.7909 0.0000 3.5931
Cu 5.3799 1.8559 1.8064
Ag 2.3214 0.0000 4.6954
Ag 3.5674 0.0000 1.2302
```

Computed energies relative to the best structure, in meV/atom: arrangement A 11; arrangement B 0